Below is an optimized crystal structure of CoTePbO4, with properties calculated at the GGA+U level.

a = 5.8680 Å, b = 5.9693 Å, c = 7.3114 Å
α = 90.00°, β = 90.45°, γ = 90.00°
Last column: magnetic moment on the atom in μB.
Atoms (fractional coordinates):
Co (0.7358, 0.7500, 0.3181)  2.65
Co (0.2642, 0.2500, 0.6819)  2.65
Te (0.2194, 0.7500, 0.4055)  0.00
Te (0.7806, 0.2500, 0.5945)  0.00
Pb (0.7611, 0.7500, 0.8351)  0.03
Pb (0.2389, 0.2500, 0.1649)  0.03
O (0.9951, 0.4673, 0.7093)  0.04
O (0.0049, 0.9673, 0.2907)  0.04
O (0.0049, 0.5327, 0.2907)  0.04
O (0.9951, 0.0327, 0.7093)  0.04
O (0.4281, 0.7500, 0.2048)  0.05
O (0.5719, 0.2500, 0.7952)  0.05
O (0.6103, 0.7500, 0.5595)  0.10
O (0.3897, 0.2500, 0.4405)  0.10

symmetry	P2_1/m (11)
crystal system	monoclinic
total magnetization	3.03	μB per formula unit
E_tot	-5.48	eV/atom